This record from Alexandria describes a relaxed BaSiAs2C crystal. The functional is GGA-PBE.

## Properties
V = 21.437 A^3/atom
D(E_F) = 3.32 states/eV/f.u.
Uncorrected formation energy = 0.46 eV/atom

Cell lengths 5.3908, 5.3908, 3.6883 Å; angles 90.00, 90.00, 90.00 degrees
With the nearest neighbours (Å) after each atom.
Space group P4/mmm (No. 123)
One atom of each set of equivalent atoms:
1 Ba 0.0000 0.0000 0.0000 [1 per cell]  8 As 3.27
2 Si 0.5000 0.5000 0.5000 [1 per cell]  2 C 1.84
3 As 0.0000 0.5000 0.5000 [2 per cell]  2 Si 2.70
4 C 0.5000 0.5000 0.0000 [1 per cell]  2 Si 1.84